1.
6
Lattice="4.305 -0.016 -2.551 -2.782 4.160 -0.046 -0.127 0.016 5.003" Properties=species:S:1:pos:R:3 comment="InCuNi, relaxed, DFT PBE" spacegroup="Imma, No. 74" total_magnetization_mub_per_fu=0.0 volume_a3_per_atom=14.69 polymorph_energy_mev_per_atom=0 pbc="T T T"
In 0.619 0.529 3.732
In 0.778 3.631 -1.326
Cu 0.698 2.080 1.203
Cu -1.391 2.080 -0.023
Ni -1.454 2.088 2.478
Ni 2.089 0.000 1.226

***

2.
6
Lattice="0.830 1.788 -3.886 -2.644 2.025 2.809 4.206 2.591 2.091" Properties=species:S:1:pos:R:3 comment="InCuNi, relaxed, DFT PBE" spacegroup="P6_3/mmc, No. 194" total_magnetization_mub_per_fu=0.0 volume_a3_per_atom=14.70 polymorph_energy_mev_per_atom=54 pbc="T T T"
In 2.826 3.810 -0.086
In -0.435 2.593 1.100
Cu 0.723 2.515 -1.131
Cu 1.668 3.889 2.146
Ni 2.103 1.296 1.045
Ni 0.000 0.000 0.000

***

3.
10
Lattice="-3.271 5.444 -1.362 -4.506 -1.609 4.393 1.998 1.886 2.740" Properties=species:S:1:pos:R:3 comment="In2Cu2Ni, relaxed, DFT PBE" spacegroup="P4/mbm, No. 127" total_magnetization_mub_per_fu=0.0 e_tot_ev_per_atom=-3.739 volume_a3_per_atom=16.37 pbc="T T T"
Ni 0.000 0.000 0.000
Ni -3.888 1.918 1.516
Cu -5.100 0.600 3.306
Cu -5.689 3.695 1.605
Cu -2.677 3.235 -0.275
Cu -2.088 0.140 1.426
In -2.610 0.808 4.096
In -4.927 3.287 4.079
In -3.168 4.914 1.676
In -0.852 2.435 1.693